1.
DFT (PBE) results for a geometry-optimized NiIr3Rh structure.

Cell lengths 4.6798, 4.6798, 4.6798 Å; angles 90.00, 90.00, 90.00 degrees
Last column: nearest neighbours and their distance in Å.
Positions (direct):
Ni (0.0000, 0.0000, 0.0000)  12 Ir 3.31
Ir (0.0000, 0.5000, 0.5000)  2 Rh 2.34
Ir (0.5000, 0.0000, 0.5000)  2 Rh 2.34
Ir (0.5000, 0.5000, 0.0000)  2 Rh 2.34
Rh (0.5000, 0.5000, 0.5000)  6 Ir 2.34

ΔH_f (0 K) in eV/atom: 2.229
Distance to the lowest polymorph of the same formula in kJ/mol of formula units: 1021
Space-group type: No. 221
Calculated density in Mg/m³: 11.96

---

2.
DFT (PBE) results for a geometry-optimized Ba2SrNi2 structure.

Cell lengths 8.2221, 8.2221, 4.7847 Å; angles 90.00, 90.00, 90.00 degrees
Last column: nearest neighbours and their distance in Å.
Positions (direct):
Ba (0.1662, 0.3338, 0.0000)  6 Ni 3.29-3.61
Ba (0.3338, 0.8338, 0.0000)  6 Ni 3.29-3.61
Ba (0.6662, 0.1662, 0.0000)  6 Ni 3.29-3.61
Ba (0.8338, 0.6662, 0.0000)  6 Ni 3.29-3.61
Sr (0.0000, 0.0000, 0.5000)  4 Ni 3.38
Sr (0.5000, 0.5000, 0.5000)  4 Ni 3.38
Ni (0.1013, 0.6013, 0.5000)  1 Ni 2.36
Ni (0.3987, 0.1013, 0.5000)  1 Ni 2.36
Ni (0.6013, 0.8987, 0.5000)  1 Ni 2.36
Ni (0.8987, 0.3987, 0.5000)  1 Ni 2.36

ΔH_f (0 K) in eV/atom: 0.093
Space-group type: No. 127
Calculated density in Mg/m³: 4.92

---

3.
DFT (PBE) results for a geometry-optimized Na2DyTmO4 structure.

Cell lengths 5.8842, 3.3970, 5.9075 Å; angles 90.00, 109.39, 90.00 degrees
Last column: nearest neighbours and their distance in Å.
Positions (direct):
Na (0.0000, 0.0000, 0.0000)  6 O 2.55-2.56
Na (0.5000, 0.5000, 0.0000)  6 O 2.53
Dy (0.0000, 0.5000, 0.5000)  6 O 2.29-2.30
Tm (0.5000, 0.0000, 0.5000)  6 O 2.27
O (0.2405, 0.0000, 0.7102)  1 Tm 2.27, 2 Dy 2.29, 2 Na 2.53
O (0.2672, 0.5000, 0.2909)  2 Tm 2.27, 1 Dy 2.30, 1 Na 2.53
O (0.7328, 0.5000, 0.7091)  2 Tm 2.27, 1 Dy 2.30, 1 Na 2.53
O (0.7595, 0.0000, 0.2898)  1 Tm 2.27, 2 Dy 2.29, 2 Na 2.53

VASP energy in eV for the cell shown: -54.21
Space-group type: No. 10
Calculated density in Mg/m³: 6.58